(1)
La3Tb5Er4 | PBE | relaxed

CIF file:
```
data_La3Tb5Er4
_chemical_formula_sum 'La3 Tb5 Er4'
_cell_length_a 6.2263
_cell_length_b 7.1673
_cell_length_c 8.8047
_cell_angle_alpha 89.93
_cell_angle_beta 89.80
_cell_angle_gamma 89.89
_symmetry_space_group_name_H-M 'P -1'
_symmetry_Int_Tables_number 2
loop_
_symmetry_equiv_pos_as_xyz
'x,y,z'
'-x,-y,-z'
loop_
_atom_site_label
_atom_site_type_symbol
_atom_site_fract_x
_atom_site_fract_y
_atom_site_fract_z
_atom_site_occupancy
La1 La 0.0000 0.0000 0.0000 1
La2 La 0.1652 0.2517 0.3339 1
Tb1 Tb 0.0000 0.5000 0.0000 1
Tb2 Tb 0.3357 0.9998 0.6668 1
Tb3 Tb 0.4979 0.7476 0.9997 1
Er1 Er 0.1707 0.7486 0.3331 1
Er2 Er 0.3340 0.4990 0.6673 1
```

## Properties
As for the polymorph energy (0 for the lowest one): 0.0 meV/atom. As for the formation energy: 26.2 meV/atom. For the total energy, the calculation gives -4.66 eV/atom. Its density of states at the Fermi level is 17.3 states/eV/cell.


(2)
KIn2Te4Pb | PBE | relaxed

CIF file:
```
data_KIn2Te4Pb
_chemical_formula_sum 'K2 In4 Te8 Pb2'
_cell_length_a 7.7700
_cell_length_b 8.4026
_cell_length_c 9.0096
_cell_angle_alpha 90.00
_cell_angle_beta 90.00
_cell_angle_gamma 90.00
_symmetry_space_group_name_H-M 'I 2 2 2'
_symmetry_Int_Tables_number 23
loop_
_symmetry_equiv_pos_as_xyz
'x,y,z'
'-x,-y,z'
'x,-y,-z'
'-x,y,-z'
'x+1/2,y+1/2,z+1/2'
'-x+1/2,-y+1/2,z+1/2'
'x+1/2,-y+1/2,-z+1/2'
'-x+1/2,y+1/2,-z+1/2'
loop_
_atom_site_label
_atom_site_type_symbol
_atom_site_fract_x
_atom_site_fract_y
_atom_site_fract_z
_atom_site_occupancy
K1 K 0.0000 0.0000 0.0000 1
In1 In 0.0000 0.5000 0.3312 1
Te1 Te 0.2352 0.1980 0.6898 1
Pb1 Pb 0.0000 0.0000 0.5000 1
```

## Properties
For the total energy, the calculation gives -3.20 eV/atom. Its density of states at the Fermi level is 8.3 states/eV/cell.


(3)
KSrH3 | PBE | relaxed

CIF file:
```
data_KSrH3
_chemical_formula_sum 'K4 Sr4 H12'
_cell_length_a 7.8918
_cell_length_b 6.3217
_cell_length_c 7.6770
_cell_angle_alpha 90.00
_cell_angle_beta 104.24
_cell_angle_gamma 90.00
_symmetry_space_group_name_H-M 'P 1 21/c 1'
_symmetry_Int_Tables_number 14
loop_
_symmetry_equiv_pos_as_xyz
'x,y,z'
'-x,-y,-z'
'-x,y+1/2,-z+1/2'
'x,-y+1/2,z+1/2'
loop_
_atom_site_label
_atom_site_type_symbol
_atom_site_fract_x
_atom_site_fract_y
_atom_site_fract_z
_atom_site_occupancy
K1 K 0.1370 0.2396 0.1605 1
Sr1 Sr 0.3832 0.7310 0.4709 1
H1 H 0.1489 0.7442 0.1604 1
H2 H 0.3156 0.1373 0.9525 1
H3 H 0.4962 0.0004 0.2838 1
```

## Properties
As for the polymorph energy (0 for the lowest one): 0.0 meV/atom. For the total energy, the calculation gives -2.92 eV/atom. Its density of states at the Fermi level is 0.0 states/eV/cell.


(4)
Pr2NiSn6 | PBE | relaxed

CIF file:
```
data_Pr2NiSn6
_chemical_formula_sum 'Pr4 Ni2 Sn12'
_cell_length_a 4.4885
_cell_length_b 4.4803
_cell_length_c 23.6581
_cell_angle_alpha 90.00
_cell_angle_beta 90.00
_cell_angle_gamma 90.00
_symmetry_space_group_name_H-M 'A m m 2'
_symmetry_Int_Tables_number 38
loop_
_symmetry_equiv_pos_as_xyz
'x,y,z'
'-x,-y,z'
'-x,y,z'
'x,-y,z'
'x,y+1/2,z+1/2'
'-x,-y+1/2,z+1/2'
'-x,y+1/2,z+1/2'
'x,-y+1/2,z+1/2'
loop_
_atom_site_label
_atom_site_type_symbol
_atom_site_fract_x
_atom_site_fract_y
_atom_site_fract_z
_atom_site_occupancy
Pr1 Pr 0.0000 0.0000 0.0000 1
Pr2 Pr 0.0000 0.0000 0.3391 1
Ni1 Ni 0.5000 0.0000 0.5583 1
Sn1 Sn 0.0000 0.0000 0.6119 1
Sn2 Sn 0.0000 0.0000 0.7345 1
Sn3 Sn 0.5000 0.0000 0.1118 1
Sn4 Sn 0.5000 0.0000 0.2348 1
Sn5 Sn 0.5000 0.0000 0.4531 1
Sn6 Sn 0.5000 0.0000 0.8733 1
```

## Properties
As for the polymorph energy (0 for the lowest one): 0.0 meV/atom. As for the formation energy: -511.3 meV/atom. For the total energy, the calculation gives -4.88 eV/atom. Its density of states at the Fermi level is 7.1 states/eV/cell.